MnBrF2 | GGA+U | optimized geometry

a = 3.015 Å, b = 6.542 Å, c = 8.711 Å
α = 90.00°, β = 90.00°, γ = 103.71°
Last column: magnetic moment on the atom in μB.
Fractional positions:
F 0.830 0.664 0.603  0.01
F 0.170 0.336 0.103  0.01
F 0.830 0.664 0.897  0.01
F 0.170 0.336 0.397  0.01
Mn 0.343 0.691 0.750  4.42
Mn 0.657 0.309 0.250  4.42
Br 0.566 0.123 0.750  0.03
Br 0.434 0.877 0.250  0.03

## Properties
E_tot: -4.978 eV per atom
SG: P2_1/m (11)